Entry 1:
Crystalline MnAlNF2 at its relaxed geometry. Source: Alexandria, functional PBE with a Hubbard U.

a = 3.942 Å, b = 3.942 Å, c = 4.165 Å
α = 90.00°, β = 90.00°, γ = 90.00°
Space group P4/mmm (No. 123)
Symmetry-distinct sites (fractional):
Mn 0.000 0.000 0.000 x1
Al 0.500 0.500 0.500 x1
N 0.000 0.000 0.500 x1
F 0.000 0.500 0.000 x2

Computed properties:
Theoretical density: 3.4 g cm⁻³
Final energy: -0.40205 Ry/atom
Crystal system: tetragonal

***

Entry 2:
Crystalline MnAlN2F at its relaxed geometry. Source: Alexandria, functional PBE with a Hubbard U.

a = 3.891 Å, b = 3.891 Å, c = 3.788 Å
α = 90.00°, β = 90.00°, γ = 90.00°
Space group P4/mmm (No. 123)
Symmetry-distinct sites (fractional):
Mn 0.000 0.000 0.000 x1
Al 0.500 0.500 0.500 x1
N 0.000 0.500 0.000 x2
F 0.000 0.000 0.500 x1

Computed properties:
Theoretical density: 3.7 g cm⁻³
Final energy: -0.42161 Ry/atom
Crystal system: tetragonal

***

no.,distance to the lowest polymorph of the same formula (meV/atom)
1,822
2,706